A plane-wave DFT calculation with PBE was carried out for an optimized crystal structure of NaScS2O8.

As for the total magnetic moment: 0.00 μB per formula unit. The electronic total energy comes out at -6.61 eV per atom.

The structure belongs to space group P-3 (No. 147); the cell edges are 5.1565, 5.1565 and 7.2363 Å and the angles 90.00°, 90.00° and 120.00°. The distinct sites, in fractional coordinates, are Na at (0.0000, 0.0000, 0.0000), Sc at (0.0000, 0.0000, 0.5000), S at (0.3333, 0.6667, 0.7513), O at (0.1176, 0.3613, 0.6782) and O at (0.3333, 0.6667, 0.9517).


A plane-wave DFT calculation with PBE was carried out for an optimized crystal structure of Rb2CdH.

As for the total magnetic moment: 0.00 μB per formula unit. The electronic total energy comes out at -1.35 eV per atom.

The structure belongs to space group Fm-3m (No. 225); the cell edges are 8.575, 8.575 and 8.575 Å and the angles 90.00°, 90.00° and 90.00°. The distinct sites, in fractional coordinates, are Rb at (0.250, 0.250, 0.250), Cd at (0.000, 0.000, 0.000) and H at (0.000, 0.000, 0.500).


A plane-wave DFT calculation with PBE was carried out for an optimized crystal structure of B2P2S.

As for the total magnetic moment: 0.00 μB per formula unit. The electronic total energy comes out at -5.63 eV per atom.

The structure belongs to space group Cm (No. 8); the cell edges are 8.294, 3.273 and 6.702 Å and the angles 90.00°, 121.58° and 90.00°. The distinct sites, in fractional coordinates, are B at (0.000, 0.000, 0.000), B at (0.246, 0.500, 0.791), P at (0.001, 0.500, 0.163), P at (0.179, 0.000, 0.900) and S at (0.243, 0.500, 0.512).


A plane-wave DFT calculation with PBE was carried out for an optimized crystal structure of Sr2SmNbCu2O8.

As for the total magnetic moment: 0.00 μB per formula unit. The electronic total energy comes out at -7.02 eV per atom.

The structure belongs to space group I4/mcm (No. 140); the cell edges are 5.520, 5.520 and 23.685 Å and the angles 90.00°, 90.00° and 90.00°. The distinct sites, in fractional coordinates, are Sr at (0.000, 0.500, 0.100), Sm at (0.000, 0.500, 0.250), Nb at (0.000, 0.000, 0.000), Cu at (0.000, 0.000, 0.180), O at (0.000, 0.000, 0.084), O at (0.181, 0.319, 0.000) and O at (0.246, 0.254, 0.314).


A plane-wave DFT calculation with PBE was carried out for an optimized crystal structure of Tb2ErTm3Se6.

As for the total magnetic moment: 0.00 μB per formula unit. The electronic total energy comes out at -5.72 eV per atom.

The structure belongs to space group C2/m (No. 12); the cell edges are 17.659, 4.031 and 8.132 Å and the angles 90.00°, 103.92° and 90.00°. The distinct sites, in fractional coordinates, are Tb at (0.168, 0.000, 0.335), Er at (0.000, 0.500, 0.000), Tm at (0.000, 0.500, 0.500), Tm at (0.168, 0.000, 0.833), Se at (0.002, 0.000, 0.750), Se at (0.164, 0.500, 0.588) and Se at (0.166, 0.500, 0.078).


A plane-wave DFT calculation with PBE was carried out for an optimized crystal structure of TiSiS3.

As for the total magnetic moment: 0.00 μB per formula unit. The electronic total energy comes out at -5.27 eV per atom.

The structure belongs to space group Pm-3m (No. 221); the cell edges are 4.681, 4.681 and 4.681 Å and the angles 90.00°, 90.00° and 90.00°. The distinct sites, in fractional coordinates, are Ti at (0.000, 0.000, 0.000), Si at (0.500, 0.500, 0.500) and S at (0.000, 0.000, 0.500).